Arrangement a

The following is a DFT calculation (PBE+U) of an optimized crystal structure of CoAu2F.

Summary:
* space-group type: I-42d

a b c (Å): 7.059 7.059 5.657
angles (deg): 51.39 51.39 90.00
Atoms (fractional coordinates):
1 Co 0.000 0.000 0.000
2 Co 0.750 0.250 0.500
3 Au 0.614 0.125 0.250
4 Au 0.136 0.625 0.250
5 Au 0.375 0.386 0.750
6 Au 0.875 0.864 0.750
7 F 0.500 0.500 0.000
8 F 0.250 0.750 0.500

Arrangement b

The following is a DFT calculation (PBE+U) of an optimized crystal structure of CoAu2F.

Summary:
* space-group type: Fm-3m

a b c (Å): 4.414 4.414 4.414
angles (deg): 60.00 60.00 60.00
Atoms (fractional coordinates):
1 Co 0.500 0.500 0.500
2 Au 0.250 0.250 0.250
3 Au 0.750 0.750 0.750
4 F 0.000 0.000 0.000

Top of the stability list: arrangement a, leading by 33 meV per atom.

Arrangement a

The following is a DFT calculation (PBE+U) of an optimized crystal structure of CoAuF3.

Summary:
* space-group type: Pm-3m

a b c (Å): 4.051 4.051 4.051
angles (deg): 90.00 90.00 90.00
Atoms (fractional coordinates):
1 Co 0.000 0.000 0.000
2 Au 0.500 0.500 0.500
3 F 0.000 0.500 0.000
4 F 0.000 0.000 0.500
5 F 0.500 0.000 0.000

Arrangement b

The following is a DFT calculation (PBE+U) of an optimized crystal structure of CoAuF3.

Summary:
* space-group type: Pm-3m

a b c (Å): 4.429 4.429 4.429
angles (deg): 90.00 90.00 90.00
Atoms (fractional coordinates):
1 Co 0.500 0.500 0.500
2 Au 0.000 0.000 0.000
3 F 0.000 0.500 0.000
4 F 0.000 0.000 0.500
5 F 0.500 0.000 0.000

Top of the stability list: arrangement a, leading by 723 meV per atom.

Arrangement a

The following is a DFT calculation (PBE+U) of an optimized crystal structure of CoAuNF2.

Summary:
* space-group type: P4/mmm

a b c (Å): 4.613 4.613 3.774
angles (deg): 90.00 90.00 90.00
Atoms (fractional coordinates):
1 Co 0.500 0.500 0.500
2 N 0.000 0.000 0.500
3 Au 0.000 0.000 0.000
4 F 0.000 0.500 0.000
5 F 0.500 0.000 0.000

Arrangement b

The following is a DFT calculation (PBE+U) of an optimized crystal structure of CoAuNF2.

Summary:
* space-group type: P4/mmm

a b c (Å): 4.165 4.165 3.502
angles (deg): 90.00 90.00 90.00
Atoms (fractional coordinates):
1 Co 0.000 0.000 0.000
2 N 0.000 0.000 0.500
3 Au 0.500 0.500 0.500
4 F 0.000 0.500 0.000
5 F 0.500 0.000 0.000

Top of the stability list: arrangement b, leading by 534 meV per atom.

Arrangement a

The following is a DFT calculation (PBE+U) of an optimized crystal structure of Na2CoAuF6.

Summary:
* space-group type: Fm-3m

a b c (Å): 5.955 5.955 5.955
angles (deg): 60.00 60.00 60.00
Atoms (fractional coordinates):
1 Na 0.750 0.750 0.750
2 Na 0.250 0.250 0.250
3 Co 0.000 0.000 0.000
4 Au 0.500 0.500 0.500
5 F 0.777 0.223 0.223
6 F 0.223 0.223 0.777
7 F 0.223 0.777 0.777
8 F 0.223 0.777 0.223
9 F 0.777 0.223 0.777
10 F 0.777 0.777 0.223

Arrangement b

The following is a DFT calculation (PBE+U) of an optimized crystal structure of Na2CoAuF6.

Summary:
* space-group type: P1

a b c (Å): 5.982 5.879 6.119
angles (deg): 57.61 64.24 57.11
Atoms (fractional coordinates):
1 Na 0.570 0.514 0.366
2 Na 0.973 0.982 0.039
3 Co 0.335 0.346 0.995
4 Au 0.765 0.658 0.740
5 F 0.527 0.222 0.239
6 F 0.284 0.002 0.152
7 F 0.999 0.523 0.185
8 F 0.369 0.721 0.812
9 F 0.664 0.193 0.785
10 F 0.175 0.501 0.703

Top of the stability list: arrangement b, leading by 120 meV per atom.